CaAlSi2As | SCAN | PBEsol geometry

a b c (Å): 5.1771 5.1771 5.1701
angles (deg): 90.00 90.00 90.00
Atoms (fractional coordinates):
Ca 0.0000 0.0000 0.0000
Al 0.5000 0.5000 0.5000
Si 0.0000 0.5000 0.0000
Si 0.5000 0.0000 0.0000
As 0.0000 0.0000 0.5000

Summary:
Symmetry = P4/mmm, No. 123
Formation energy without anion corrections = 1.416 eV per atom
E = -50.6 eV/cell

---

IrRuRh | SCAN | PBEsol geometry

a b c (Å): 5.7876 5.7876 5.7876
angles (deg): 90.00 90.00 90.00
Atoms (fractional coordinates):
Ir 0.0000 0.0000 0.0000
Ir 0.0000 0.5000 0.5000
Ir 0.5000 0.0000 0.5000
Ir 0.5000 0.5000 0.0000
Ru 0.2500 0.2500 0.2500
Ru 0.2500 0.7500 0.7500
Ru 0.7500 0.2500 0.7500
Ru 0.7500 0.7500 0.2500
Rh 0.0000 0.0000 0.5000
Rh 0.0000 0.5000 0.0000
Rh 0.5000 0.0000 0.0000
Rh 0.5000 0.5000 0.5000

Summary:
Symmetry = F-43m, No. 216
E above lowest polymorph = 625 meV per atom
E = -551.8 eV/cell

---

Li2TaFe | SCAN | PBEsol geometry

a b c (Å): 3.0305 3.0305 6.8882
angles (deg): 90.00 90.00 90.00
Atoms (fractional coordinates):
Li 0.0000 0.0000 0.0000
Li 0.5000 0.5000 0.2744
Ta 0.0000 0.0000 0.5912
Fe 0.5000 0.5000 0.7565

Summary:
Symmetry = P4mm, No. 99
E above lowest polymorph = 0 meV per atom
E = -88.4 eV/cell

---

ZrTl2Ir | SCAN | PBEsol geometry

a b c (Å): 3.1931 5.1237 9.8928
angles (deg): 90.00 90.00 90.00
Atoms (fractional coordinates):
Zr 0.0000 0.0000 0.0000
Zr 0.5000 0.5000 0.5000
Tl 0.0000 0.5000 0.2318
Tl 0.0000 0.5000 0.7682
Tl 0.5000 0.0000 0.2682
Tl 0.5000 0.0000 0.7318
Ir 0.0000 0.0000 0.5000
Ir 0.5000 0.5000 0.0000

Summary:
Symmetry = Immm, No. 71
E above lowest polymorph = 0 meV per atom
E = -492.6 eV/cell

---

KRe2 | SCAN | PBEsol geometry

a b c (Å): 5.5335 5.5335 2.4463
angles (deg): 90.00 90.00 90.00
Atoms (fractional coordinates):
K 0.0000 0.0000 0.0000
Re 0.0000 0.5000 0.5000
Re 0.5000 0.0000 0.5000

Summary:
Symmetry = P4/mmm, No. 123
E = -140.1 eV/cell

---

SrPt2S | SCAN | PBEsol geometry

a b c (Å): 5.1876 5.1876 14.7076
angles (deg): 90.00 90.00 90.00
Atoms (fractional coordinates):
Sr 0.0000 0.2500 0.3750
Sr 0.0000 0.7500 0.6250
Sr 0.5000 0.2500 0.1250
Sr 0.5000 0.7500 0.8750
Pt 0.0000 0.0000 0.0000
Pt 0.0000 0.5000 0.0000
Pt 0.2500 0.2500 0.7500
Pt 0.2500 0.7500 0.2500
Pt 0.5000 0.0000 0.5000
Pt 0.5000 0.5000 0.5000
Pt 0.7500 0.2500 0.7500
Pt 0.7500 0.7500 0.2500
S 0.0000 0.2500 0.8750
S 0.0000 0.7500 0.1250
S 0.5000 0.2500 0.6250
S 0.5000 0.7500 0.3750

Summary:
Symmetry = I4_1/amd, No. 141
Formation energy without anion corrections = -0.895 eV per atom
E = -703.5 eV/cell

---

Sr2ReTe | SCAN | PBEsol geometry

a b c (Å): 7.2880 7.2880 7.2880
angles (deg): 90.00 90.00 90.00
Atoms (fractional coordinates):
Sr 0.0000 0.0000 0.0000
Sr 0.0000 0.5000 0.5000
Sr 0.2500 0.2500 0.2500
Sr 0.2500 0.7500 0.7500
Sr 0.5000 0.0000 0.5000
Sr 0.5000 0.5000 0.0000
Sr 0.7500 0.2500 0.7500
Sr 0.7500 0.7500 0.2500
Re 0.2500 0.2500 0.7500
Re 0.2500 0.7500 0.2500
Re 0.7500 0.2500 0.2500
Re 0.7500 0.7500 0.7500
Te 0.0000 0.0000 0.5000
Te 0.0000 0.5000 0.0000
Te 0.5000 0.0000 0.0000
Te 0.5000 0.5000 0.5000

Summary:
Symmetry = F-43m, No. 216
Formation energy without anion corrections = 0.599 eV per atom
E above lowest polymorph = 440 meV per atom
E = -602.0 eV/cell

---

ZrWIO2 | SCAN | PBEsol geometry

a b c (Å): 3.8945 3.8945 5.9069
angles (deg): 90.00 90.00 90.00
Atoms (fractional coordinates):
Zr 0.0000 0.0000 0.0000
W 0.5000 0.5000 0.5000
I 0.5000 0.5000 0.0000
O 0.0000 0.5000 0.5000
O 0.5000 0.0000 0.5000

Summary:
Symmetry = P4/mmm, No. 123
Formation energy without anion corrections = -0.461 eV per atom
E above lowest polymorph = 169 meV per atom
E = -151.9 eV/cell

---

RbIrRu3 | SCAN | PBEsol geometry

a b c (Å): 4.4981 4.4981 4.4981
angles (deg): 90.00 90.00 90.00
Atoms (fractional coordinates):
Rb 0.0000 0.0000 0.0000
Ir 0.5000 0.5000 0.5000
Ru 0.0000 0.0000 0.5000
Ru 0.0000 0.5000 0.0000
Ru 0.5000 0.0000 0.0000

Summary:
Symmetry = Pm-3m, No. 221
E = -178.6 eV/cell

---

Co3HS | SCAN | PBEsol geometry

a b c (Å): 4.0446 4.0446 4.0446
angles (deg): 90.00 90.00 90.00
Atoms (fractional coordinates):
Co 0.0000 0.0000 0.5000
Co 0.0000 0.5000 0.0000
Co 0.5000 0.0000 0.0000
H 0.5000 0.5000 0.5000
S 0.0000 0.0000 0.0000

Summary:
Symmetry = Pm-3m, No. 221
E = -60.8 eV/cell

---

ZnCu2Sb | SCAN | PBEsol geometry

a b c (Å): 3.2713 3.6959 5.1467
angles (deg): 90.00 90.00 90.00
Atoms (fractional coordinates):
Zn 0.0000 0.0000 0.0000
Cu 0.0000 0.0000 0.4655
Cu 0.5000 0.5000 0.2010
Sb 0.5000 0.5000 0.6963

Summary:
Symmetry = Pmm2, No. 25
Formation energy without anion corrections = 0.156 eV per atom
E = -80.6 eV/cell

---

PrTlMo2O8 | SCAN | PBEsol geometry

a b c (Å): 6.2297 6.2297 9.6087
angles (deg): 90.00 90.00 90.00
Atoms (fractional coordinates):
Pr 0.2500 0.2500 0.2500
Pr 0.7500 0.7500 0.7500
Tl 0.2500 0.2500 0.7500
Tl 0.7500 0.7500 0.2500
Mo 0.2500 0.7500 0.0000
Mo 0.2500 0.7500 0.5000
Mo 0.7500 0.2500 0.0000
Mo 0.7500 0.2500 0.5000
O 0.0578 0.6297 0.6108
O 0.0578 0.8703 0.8892
O 0.1297 0.5578 0.1108
O 0.1297 0.9422 0.3892
O 0.3703 0.5578 0.3892
O 0.3703 0.9422 0.1108
O 0.4422 0.6297 0.8892
O 0.4422 0.8703 0.6108
O 0.5578 0.1297 0.3892
O 0.5578 0.3703 0.1108
O 0.6297 0.0578 0.8892
O 0.6297 0.4422 0.6108
O 0.8703 0.0578 0.6108
O 0.8703 0.4422 0.8892
O 0.9422 0.1297 0.1108
O 0.9422 0.3703 0.3892

Summary:
Symmetry = P4/nnc, No. 126
Formation energy without anion corrections = -2.440 eV per atom
E = -529.2 eV/cell

---

TlIn2Ga2 | SCAN | PBEsol geometry

a b c (Å): 4.4074 4.4074 12.5158
angles (deg): 90.00 90.00 90.00
Atoms (fractional coordinates):
Tl 0.0000 0.0000 0.0000
Tl 0.5000 0.5000 0.5000
In 0.0000 0.0000 0.3874
In 0.0000 0.0000 0.6126
In 0.5000 0.5000 0.1126
In 0.5000 0.5000 0.8874
Ga 0.0000 0.5000 0.2500
Ga 0.0000 0.5000 0.7500
Ga 0.5000 0.0000 0.2500
Ga 0.5000 0.0000 0.7500

Summary:
Symmetry = I4/mmm, No. 139
E above lowest polymorph = 0 meV per atom
E = -343.1 eV/cell

---

BaHg2Pb | SCAN | PBEsol geometry

a b c (Å): 5.4786 5.4786 7.7146
angles (deg): 90.00 90.00 90.00
Atoms (fractional coordinates):
Ba 0.0000 0.0000 0.0000
Ba 0.5000 0.5000 0.5000
Hg 0.0000 0.5000 0.2500
Hg 0.0000 0.5000 0.7500
Hg 0.5000 0.0000 0.2500
Hg 0.5000 0.0000 0.7500
Pb 0.0000 0.0000 0.5000
Pb 0.5000 0.5000 0.0000

Summary:
Symmetry = I4/mmm, No. 139
E above lowest polymorph = 0 meV per atom
E = -507.7 eV/cell

---

NaH3Pb | SCAN | PBEsol geometry

a b c (Å): 3.9758 3.9758 3.9758
angles (deg): 90.00 90.00 90.00
Atoms (fractional coordinates):
Na 0.0000 0.0000 0.0000
H 0.0000 0.0000 0.5000
H 0.0000 0.5000 0.0000
H 0.5000 0.0000 0.0000
Pb 0.5000 0.5000 0.5000

Summary:
Symmetry = Pm-3m, No. 221
E = -88.3 eV/cell

---

Sc5Co3 | SCAN | PBEsol geometry

a b c (Å): 7.5520 7.5520 7.5520
angles (deg): 97.42 97.42 137.88
Atoms (fractional coordinates):
Sc 0.0808 0.7900 0.8707
Sc 0.2100 0.0808 0.2908
Sc 0.2500 0.7500 0.5000
Sc 0.2900 0.5808 0.8707
Sc 0.4192 0.2900 0.7092
Sc 0.5808 0.7100 0.2908
Sc 0.7100 0.4192 0.1293
Sc 0.7500 0.2500 0.5000
Sc 0.7900 0.9192 0.7092
Sc 0.9192 0.2100 0.1293
Co 0.1586 0.3414 0.5000
Co 0.2500 0.2500 0.0000
Co 0.3414 0.8414 0.1829
Co 0.6586 0.1586 0.8171
Co 0.7500 0.7500 0.0000
Co 0.8414 0.6586 0.5000

Summary:
Symmetry = I4/mcm, No. 140
E above lowest polymorph = 17 meV per atom
E = -248.2 eV/cell

---

BeZnAs3 | SCAN | PBEsol geometry

a b c (Å): 4.7247 4.7247 4.7247
angles (deg): 90.00 90.00 90.00
Atoms (fractional coordinates):
Be 0.0000 0.0000 0.0000
Zn 0.5000 0.5000 0.5000
As 0.0000 0.5000 0.5000
As 0.5000 0.0000 0.5000
As 0.5000 0.5000 0.0000

Summary:
Symmetry = Pm-3m, No. 221
E = -72.5 eV/cell

---

In3HO | SCAN | PBEsol geometry

a b c (Å): 4.4897 4.4897 4.4897
angles (deg): 90.00 90.00 90.00
Atoms (fractional coordinates):
In 0.0000 0.0000 0.5000
In 0.0000 0.5000 0.0000
In 0.5000 0.0000 0.0000
H 0.0000 0.0000 0.0000
O 0.5000 0.5000 0.5000

Summary:
Symmetry = Pm-3m, No. 221
E = -107.9 eV/cell

---

KTi2Sb2 | SCAN | PBEsol geometry

a b c (Å): 5.2524 5.2524 9.4950
angles (deg): 90.00 90.00 90.00
Atoms (fractional coordinates):
K 0.0000 0.0000 0.0000
K 0.5000 0.5000 0.5000
Ti 0.0000 0.0000 0.3566
Ti 0.0000 0.0000 0.6434
Ti 0.5000 0.5000 0.1434
Ti 0.5000 0.5000 0.8566
Sb 0.0000 0.5000 0.2500
Sb 0.0000 0.5000 0.7500
Sb 0.5000 0.0000 0.2500
Sb 0.5000 0.0000 0.7500

Summary:
Symmetry = I4/mmm, No. 139
Formation energy without anion corrections = -0.090 eV per atom
E = -230.7 eV/cell

---

Mn2NiOs | SCAN | PBEsol geometry

a b c (Å): 5.7444 5.7444 5.7444
angles (deg): 90.00 90.00 90.00
Atoms (fractional coordinates):
Mn 0.0000 0.0000 0.0000
Mn 0.0000 0.5000 0.5000
Mn 0.2500 0.2500 0.2500
Mn 0.2500 0.7500 0.7500
Mn 0.5000 0.0000 0.5000
Mn 0.5000 0.5000 0.0000
Mn 0.7500 0.2500 0.7500
Mn 0.7500 0.7500 0.2500
Ni 0.2500 0.2500 0.7500
Ni 0.2500 0.7500 0.2500
Ni 0.7500 0.2500 0.2500
Ni 0.7500 0.7500 0.7500
Os 0.0000 0.0000 0.5000
Os 0.0000 0.5000 0.0000
Os 0.5000 0.0000 0.0000
Os 0.5000 0.5000 0.5000

Summary:
Symmetry = F-43m, No. 216
E = -497.4 eV/cell

---

Zr3Mo4 | SCAN | PBEsol geometry

a b c (Å): 3.1928 3.1928 24.3944
angles (deg): 90.00 90.00 90.00
Atoms (fractional coordinates):
Zr 0.0000 0.0000 0.0000
Zr 0.0000 0.0000 0.2939
Zr 0.0000 0.0000 0.7061
Zr 0.5000 0.5000 0.2061
Zr 0.5000 0.5000 0.5000
Zr 0.5000 0.5000 0.7939
Mo 0.0000 0.0000 0.1321
Mo 0.0000 0.0000 0.4260
Mo 0.0000 0.0000 0.5740
Mo 0.0000 0.0000 0.8679
Mo 0.5000 0.5000 0.0740
Mo 0.5000 0.5000 0.3679
Mo 0.5000 0.5000 0.6321
Mo 0.5000 0.5000 0.9260

Summary:
Symmetry = I4/mmm, No. 139
E = -463.7 eV/cell

---

Tm2CdOs | SCAN | PBEsol geometry

a b c (Å): 6.8872 6.8872 6.8872
angles (deg): 90.00 90.00 90.00
Atoms (fractional coordinates):
Tm 0.2500 0.2500 0.2500
Tm 0.2500 0.2500 0.7500
Tm 0.2500 0.7500 0.2500
Tm 0.2500 0.7500 0.7500
Tm 0.7500 0.2500 0.2500
Tm 0.7500 0.2500 0.7500
Tm 0.7500 0.7500 0.2500
Tm 0.7500 0.7500 0.7500
Cd 0.0000 0.0000 0.0000
Cd 0.0000 0.5000 0.5000
Cd 0.5000 0.0000 0.5000
Cd 0.5000 0.5000 0.0000
Os 0.0000 0.0000 0.5000
Os 0.0000 0.5000 0.0000
Os 0.5000 0.0000 0.0000
Os 0.5000 0.5000 0.5000

Summary:
Symmetry = Fm-3m, No. 225
E = -830.7 eV/cell

---

Cs4ZrO4 | SCAN | PBEsol geometry

a b c (Å): 7.1095 19.7463 7.0963
angles (deg): 90.00 112.83 90.00
Atoms (fractional coordinates):
Cs 0.1548 0.0831 0.2258
Cs 0.1548 0.4169 0.7258
Cs 0.2000 0.2163 0.6780
Cs 0.2000 0.2837 0.1780
Cs 0.2808 0.0144 0.7511
Cs 0.2808 0.4856 0.2511
Cs 0.3180 0.6897 0.3190
Cs 0.3180 0.8103 0.8190
Cs 0.6820 0.1897 0.1810
Cs 0.6820 0.3103 0.6810
Cs 0.7192 0.5144 0.7489
Cs 0.7192 0.9856 0.2489
Cs 0.8000 0.7163 0.8220
Cs 0.8000 0.7837 0.3220
Cs 0.8452 0.5831 0.2742
Cs 0.8452 0.9169 0.7742
Zr 0.2445 0.6222 0.7996
Zr 0.2445 0.8778 0.2996
Zr 0.7555 0.1222 0.7004
Zr 0.7555 0.3778 0.2004
O 0.0736 0.6903 0.6035
O 0.0736 0.8097 0.1035
O 0.0892 0.5952 0.9669
O 0.0892 0.9048 0.4669
O 0.2885 0.5470 0.6367
O 0.2885 0.9530 0.1367
O 0.5000 0.1668 0.5182
O 0.5000 0.3332 0.0182
O 0.5000 0.6668 0.9818
O 0.5000 0.8332 0.4818
O 0.7115 0.0470 0.8633
O 0.7115 0.4530 0.3633
O 0.9108 0.0952 0.5331
O 0.9108 0.4048 0.0331
O 0.9264 0.1903 0.8965
O 0.9264 0.3097 0.3965

Summary:
Symmetry = P2_1/c, No. 14
Formation energy without anion corrections = -2.231 eV per atom
E = -907.8 eV/cell

---

CdFeMo2S | SCAN | PBEsol geometry

a b c (Å): 4.4172 4.4172 4.0664
angles (deg): 90.00 90.00 90.00
Atoms (fractional coordinates):
Cd 0.0000 0.0000 0.0000
Fe 0.5000 0.5000 0.0000
Mo 0.0000 0.5000 0.5000
Mo 0.5000 0.0000 0.5000
S 0.5000 0.5000 0.5000

Summary:
Symmetry = P4/mmm, No. 123
Formation energy without anion corrections = 0.404 eV per atom
E = -125.9 eV/cell

---

Ta5Mo | SCAN | PBEsol geometry

a b c (Å): 10.3068 3.2314 6.5293
angles (deg): 90.00 108.39 90.00
Atoms (fractional coordinates):
Ta 0.0000 0.0000 0.0000
Ta 0.1603 0.5000 0.3368
Ta 0.1653 0.5000 0.8269
Ta 0.3347 0.0000 0.1731
Ta 0.3397 0.0000 0.6632
Ta 0.5000 0.5000 0.0000
Ta 0.6603 0.0000 0.3368
Ta 0.6653 0.0000 0.8269
Ta 0.8347 0.5000 0.1731
Ta 0.8397 0.5000 0.6632
Mo 0.0000 0.0000 0.5000
Mo 0.5000 0.5000 0.5000

Summary:
Symmetry = C2/m, No. 12
E above lowest polymorph = 2 meV per atom
E = -736.5 eV/cell

---

Sb2IrPb | SCAN | PBEsol geometry

a b c (Å): 3.2124 3.2124 9.0985
angles (deg): 90.00 90.00 90.00
Atoms (fractional coordinates):
Sb 0.0000 0.0000 0.0000
Sb 0.5000 0.5000 0.3127
Ir 0.0000 0.0000 0.4780
Pb 0.5000 0.5000 0.7014

Summary:
Symmetry = P4mm, No. 99
Formation energy without anion corrections = 0.188 eV per atom
E = -220.7 eV/cell